# AcSmTl2Se4

AcSmTl2Se4 after structural relaxation (GGA-PBE, Alexandria via LeMat-Bulk).

Unit cell a=4.423 b=8.142 c=7.671 alpha=71.78 beta=90.00 gamma=90.00
Fractional positions:
1 Se 0.500 0.710 0.276
2 Se 0.000 0.715 0.748
3 Se 0.000 0.285 0.252
4 Se 0.500 0.290 0.724
5 Ac 0.500 0.500 0.000
6 Sm 0.000 0.500 0.500
7 Tl 0.000 0.000 0.000
8 Tl 0.500 0.000 0.500

Properties
The energy relative to the elements, uncorrected comes out at -1.40 eV/atom. The value obtained for the density of states at the Fermi level is 0.0 states/eV per cell. The magnetic moment is 0.00 μB/cell.